The following is a DFT calculation (PBE+U) of a relaxed AcMoO4F crystal.

a = 7.1499 Å, b = 5.1651 Å, c = 5.2542 Å
α = 90.00°, β = 111.54°, γ = 90.00°
Element x y z (fractional)
Ac: 0.7003 0.7500 0.3501
Ac: 0.2997 0.2500 0.6499
Mo: 0.1442 0.7500 0.0722
Mo: 0.8558 0.2500 0.9278
O: 0.0002 0.5000 0.7679
O: 0.9998 0.0000 0.2321
O: 0.9998 0.5000 0.2321
O: 0.0002 0.0000 0.7679
O: 0.3424 0.7500 0.9276
O: 0.6576 0.2500 0.0724
O: 0.3420 0.7500 0.4152
O: 0.6580 0.2500 0.5848
F: 0.6905 0.7500 0.8448
F: 0.3095 0.2500 0.1552

Computed properties:
raw total energy = -50.5 eV/f.u.
SG = No. 63
crystal system = orthorhombic
density of states at the Fermi level = 0.0000 states/eV per atom